# Ba2HgH2

A PBEsol-optimized structure of Ba2HgH2 (meta-GGA SCAN, Alexandria).

Geometry as CIF:
```
data_Ba2HgH2
_cell_length_a 4.2193
_cell_length_b 4.2193
_cell_length_c 14.4458
_cell_angle_alpha 90.00
_cell_angle_beta 90.00
_cell_angle_gamma 90.00
_space_group_name_H-M_alt 'I 4/m m m'
_space_group_IT_number 139
_space_group_name_Hall '-I 4 2'
loop_
_atom_site_label
_atom_site_type_symbol
_atom_site_fract_x
_atom_site_fract_y
_atom_site_fract_z
_atom_site_occupancy
Ba1 Ba 0.0000 0.0000 0.1466 1
Hg1 Hg 0.0000 0.0000 0.5000 1
H1 H 0.0000 0.5000 0.2500 1
```

Calculated values
- VASP energy (eV per atom) = -31.41
- DOS at the Fermi energy (states/eV per cell) = 6.01

=====

# BaH2I

A PBEsol-optimized structure of BaH2I (meta-GGA SCAN, Alexandria).

Geometry as CIF:
```
data_BaH2I
_cell_length_a 6.4245
_cell_length_b 6.4559
_cell_length_c 9.9462
_cell_angle_alpha 90.00
_cell_angle_beta 107.91
_cell_angle_gamma 90.00
_space_group_name_H-M_alt 'C 1 m 1'
_space_group_IT_number 8
loop_
_space_group_symop_operation_xyz
'x,y,z'
'x,-y,z'
'x+1/2,y+1/2,z'
'x+1/2,-y+1/2,z'
loop_
_atom_site_label
_atom_site_type_symbol
_atom_site_fract_x
_atom_site_fract_y
_atom_site_fract_z
_atom_site_occupancy
Ba1 Ba 0.0000 0.0000 0.0000 1
Ba2 Ba 0.1349 0.5000 0.2831 1
H1 H 0.2539 0.5000 0.6374 1
H2 H 0.3174 0.2499 0.1414 1
H3 H 0.3714 0.5000 0.6332 1
I1 I 0.2041 0.0000 0.4284 1
I2 I 0.4305 0.0000 0.8539 1
```

Calculated values
- VASP energy (eV per atom) = -21.81
- DOS at the Fermi energy (states/eV per cell) = 0.00

=====

# BaHI

A PBEsol-optimized structure of BaHI (meta-GGA SCAN, Alexandria).

Geometry as CIF:
```
data_BaHI
_cell_length_a 4.6723
_cell_length_b 4.6723
_cell_length_c 7.5890
_cell_angle_alpha 90.00
_cell_angle_beta 90.00
_cell_angle_gamma 90.00
_space_group_name_H-M_alt 'P 4/n m m'
_space_group_IT_number 129
loop_
_space_group_symop_operation_xyz
'x,y,z'
'-x,-y,-z'
'-y+1/2,x,z'
'y+1/2,-x,-z'
'-x+1/2,-y+1/2,z'
'x+1/2,y+1/2,-z'
'y,-x+1/2,z'
'-y,x+1/2,-z'
'x+1/2,-y,-z'
'-x+1/2,y,z'
'-y,-x,-z'
'y,x,z'
'-x,y+1/2,-z'
'x,-y+1/2,z'
'y+1/2,x+1/2,-z'
'-y+1/2,-x+1/2,z'
loop_
_atom_site_label
_atom_site_type_symbol
_atom_site_fract_x
_atom_site_fract_y
_atom_site_fract_z
_atom_site_occupancy
Ba1 Ba 0.2500 0.2500 0.1742 1
H1 H 0.2500 0.7500 0.0000 1
I1 I 0.2500 0.2500 0.6588 1
```

Calculated values
- VASP energy (eV per atom) = -27.96
- DOS at the Fermi energy (states/eV per cell) = 0.00

=====

# BaHIO2

A PBEsol-optimized structure of BaHIO2 (meta-GGA SCAN, Alexandria).

Geometry as CIF:
```
data_BaHIO2
_cell_length_a 4.7220
_cell_length_b 4.7220
_cell_length_c 3.7005
_cell_angle_alpha 90.00
_cell_angle_beta 90.00
_cell_angle_gamma 90.00
_space_group_name_H-M_alt 'P 4/m m m'
_space_group_IT_number 123
_space_group_name_Hall '-P 4 2'
loop_
_atom_site_label
_atom_site_type_symbol
_atom_site_fract_x
_atom_site_fract_y
_atom_site_fract_z
_atom_site_occupancy
Ba1 Ba 0.0000 0.0000 0.0000 1
H1 H 0.5000 0.5000 0.5000 1
I1 I 0.5000 0.5000 0.0000 1
O1 O 0.0000 0.5000 0.5000 1
```

Calculated values
- VASP energy (eV per atom) = -18.97
- DOS at the Fermi energy (states/eV per cell) = 0.98

=====

# BaH4I2O2

A PBEsol-optimized structure of BaH4I2O2 (meta-GGA SCAN, Alexandria).

Geometry as CIF:
```
data_BaH4I2O2
_cell_length_a 11.0410
_cell_length_b 7.4186
_cell_length_c 8.5074
_cell_angle_alpha 90.00
_cell_angle_beta 112.60
_cell_angle_gamma 90.00
_space_group_name_H-M_alt 'C 1 2/c 1'
_space_group_IT_number 15
loop_
_space_group_symop_operation_xyz
'x,y,z'
'-x,-y,-z'
'-x,y,-z+1/2'
'x,-y,z+1/2'
'x+1/2,y+1/2,z'
'-x+1/2,-y+1/2,-z'
'-x+1/2,y+1/2,-z+1/2'
'x+1/2,-y+1/2,z+1/2'
loop_
_atom_site_label
_atom_site_type_symbol
_atom_site_fract_x
_atom_site_fract_y
_atom_site_fract_z
_atom_site_occupancy
Ba1 Ba 0.0000 0.0970 0.2500 1
H1 H 0.0726 0.2979 0.6264 1
H2 H 0.0812 0.2982 0.9503 1
I1 I 0.2113 0.4839 0.3518 1
O1 O 0.0043 0.2224 0.9419 1
```

Calculated values
- VASP energy (eV per atom) = -16.88
- DOS at the Fermi energy (states/eV per cell) = 0.00

=====

# BaHIO

A PBEsol-optimized structure of BaHIO (meta-GGA SCAN, Alexandria).

Geometry as CIF:
```
data_BaHIO
_cell_length_a 7.8864
_cell_length_b 4.4420
_cell_length_c 11.1513
_cell_angle_alpha 90.00
_cell_angle_beta 90.00
_cell_angle_gamma 90.00
_space_group_name_H-M_alt 'P n m a'
_space_group_IT_number 62
loop_
_space_group_symop_operation_xyz
'x,y,z'
'-x,-y,-z'
'-x+1/2,-y,z+1/2'
'x+1/2,y,-z+1/2'
'x+1/2,-y+1/2,-z+1/2'
'-x+1/2,y+1/2,z+1/2'
'-x,y+1/2,-z'
'x,-y+1/2,z'
loop_
_atom_site_label
_atom_site_type_symbol
_atom_site_fract_x
_atom_site_fract_y
_atom_site_fract_z
_atom_site_occupancy
Ba1 Ba 0.1881 0.2500 0.0842 1
H1 H 0.2231 0.7500 0.9037 1
I1 I 0.0360 0.7500 0.3223 1
O1 O 0.1350 0.7500 0.9657 1
```

Calculated values
- VASP energy (eV per atom) = -23.52
- DOS at the Fermi energy (states/eV per cell) = 0.00

=====

# BaTe2HI

A PBEsol-optimized structure of BaTe2HI (meta-GGA SCAN, Alexandria).

Geometry as CIF:
```
data_BaTe2HI
_cell_length_a 6.8195
_cell_length_b 6.8195
_cell_length_c 6.6327
_cell_angle_alpha 90.00
_cell_angle_beta 90.00
_cell_angle_gamma 90.00
_space_group_name_H-M_alt 'P 4/m m m'
_space_group_IT_number 123
_space_group_name_Hall '-P 4 2'
loop_
_atom_site_label
_atom_site_type_symbol
_atom_site_fract_x
_atom_site_fract_y
_atom_site_fract_z
_atom_site_occupancy
Ba1 Ba 0.0000 0.0000 0.0000 1
Te1 Te 0.0000 0.5000 0.0000 1
H1 H 0.5000 0.5000 0.5000 1
I1 I 0.0000 0.0000 0.5000 1
```

Calculated values
- VASP energy (eV per atom) = -30.64
- DOS at the Fermi energy (states/eV per cell) = 2.19

=====

# BaTeHI2

A PBEsol-optimized structure of BaTeHI2 (meta-GGA SCAN, Alexandria).

Geometry as CIF:
```
data_BaTeHI2
_cell_length_a 5.8957
_cell_length_b 5.8957
_cell_length_c 4.1280
_cell_angle_alpha 90.00
_cell_angle_beta 90.00
_cell_angle_gamma 90.00
_space_group_name_H-M_alt 'P 4/m m m'
_space_group_IT_number 123
_space_group_name_Hall '-P 4 2'
loop_
_atom_site_label
_atom_site_type_symbol
_atom_site_fract_x
_atom_site_fract_y
_atom_site_fract_z
_atom_site_occupancy
Ba1 Ba 0.0000 0.0000 0.0000 1
Te1 Te 0.5000 0.5000 0.0000 1
H1 H 0.5000 0.5000 0.5000 1
I1 I 0.0000 0.5000 0.5000 1
```

Calculated values
- VASP energy (eV per atom) = -31.37
- DOS at the Fermi energy (states/eV per cell) = 3.92